Li2Y2Cu after structural relaxation. Source: the Alexandria database, functional PBE.

## Properties
* energy relative to the lowest polymorph listed for this composition: 0.0 meV per atom
* calculated volume: 115.43 Å³/cell
* DOS(E_F): 0.9468 states/eV/atom
* size of the total moment: 0.00 μB/cell
* ΔE_f: 0.4 eV per formula unit

abc: 3.543 3.543 9.533
angles: 79.29 79.29 90.00
Sites, in units of the cell vectors:
Y: 0.409 0.409 0.182
Y: 0.591 0.591 0.818
Cu: 0.000 0.000 0.000
Li: 0.750 0.250 0.500
Li: 0.250 0.750 0.500



LiYCu after structural relaxation. Source: the Alexandria database, functional PBE.

## Properties
* energy relative to the lowest polymorph listed for this composition: 602.2 meV per atom
* calculated volume: 71.81 Å³/cell
* DOS(E_F): 0.9172 states/eV/atom
* size of the total moment: 0.00 μB/cell
* ΔE_f: 1.5 eV per formula unit

abc: 4.665 4.665 4.665
angles: 60.00 60.00 60.00
Sites, in units of the cell vectors:
Cu: 0.000 0.000 0.000
Li: 0.500 0.500 0.500
Y: 0.250 0.250 0.250



LiYCu after structural relaxation. Source: the Alexandria database, functional PBE.

## Properties
* energy relative to the lowest polymorph listed for this composition: 89.3 meV per atom
* calculated volume: 59.78 Å³/cell
* DOS(E_F): 0.8136 states/eV/atom
* size of the total moment: 0.00 μB/cell
* ΔE_f: -0.1 eV per formula unit

abc: 4.430 4.430 3.518
angles: 90.00 90.00 120.00
Sites, in units of the cell vectors:
Cu: 0.000 0.000 0.167
Li: 0.667 0.333 0.167
Y: 0.333 0.667 0.667



LiY2Cu after structural relaxation. Source: the Alexandria database, functional PBE.

## Properties
* calculated volume: 92.88 Å³/cell
* DOS(E_F): 0.9070 states/eV/atom
* size of the total moment: 0.00 μB/cell
* ΔE_f: -0.1 eV per formula unit

abc: 4.744 3.745 5.552
angles: 70.33 90.00 90.00
Sites, in units of the cell vectors:
Cu: 0.000 0.693 0.488
Li: 0.500 0.557 0.762
Y: 0.000 0.980 0.915
Y: 0.500 0.270 0.335



LiYCu5 after structural relaxation. Source: the Alexandria database, functional PBE.

## Properties
* calculated volume: 419.50 Å³/cell
* DOS(E_F): 0.4493 states/eV/atom
* size of the total moment: 0.00 μB/cell
* ΔE_f: -1.1 eV per formula unit

abc: 5.079 8.072 10.233
angles: 90.00 90.00 90.00
Sites, in units of the cell vectors:
Li: 0.250 0.861 0.860
Li: 0.750 0.639 0.360
Li: 0.250 0.361 0.640
Li: 0.750 0.139 0.140
Y: 0.250 0.246 0.937
Y: 0.750 0.254 0.437
Y: 0.250 0.746 0.563
Y: 0.750 0.754 0.063
Cu: 0.250 0.593 0.017
Cu: 0.750 0.907 0.517
Cu: 0.250 0.093 0.483
Cu: 0.750 0.407 0.983
Cu: 0.750 0.317 0.750
Cu: 0.250 0.183 0.250
Cu: 0.750 0.817 0.750
Cu: 0.250 0.683 0.250
Cu: 0.250 0.941 0.099
Cu: 0.750 0.559 0.599
Cu: 0.250 0.441 0.401
Cu: 0.750 0.059 0.901
Cu: 0.994 0.431 0.189
Cu: 0.006 0.069 0.689
Cu: 0.506 0.931 0.311
Cu: 0.494 0.569 0.811
Cu: 0.006 0.569 0.811
Cu: 0.994 0.931 0.311
Cu: 0.494 0.069 0.689
Cu: 0.506 0.431 0.189



LiY2Cu after structural relaxation. Source: the Alexandria database, functional PBE.

## Properties
* calculated volume: 199.10 Å³/cell
* DOS(E_F): 0.3996 states/eV/atom
* size of the total moment: 0.00 μB/cell
* ΔE_f: 1.0 eV per formula unit

abc: 7.923 7.923 6.438
angles: 52.02 52.02 90.00
Sites, in units of the cell vectors:
Y: 0.658 0.125 0.250
Y: 0.092 0.625 0.250
Y: 0.375 0.342 0.750
Y: 0.875 0.908 0.750
Cu: 0.000 0.000 0.000
Cu: 0.750 0.250 0.500
Li: 0.500 0.500 0.000
Li: 0.250 0.750 0.500



LiY2Cu after structural relaxation. Source: the Alexandria database, functional PBE.

## Properties
* calculated volume: 106.63 Å³/cell
* DOS(E_F): 1.2257 states/eV/atom
* size of the total moment: 0.18 μB/cell
* ΔE_f: 0.5 eV per formula unit

abc: 3.663 3.663 9.416
angles: 78.78 78.78 60.00
Sites, in units of the cell vectors:
Li: 0.500 0.500 0.499
Y: 0.069 0.069 0.792
Y: 0.264 0.264 0.208
Cu: 0.666 0.666 0.001



LiYCu after structural relaxation. Source: the Alexandria database, functional PBE.

## Properties
* energy relative to the lowest polymorph listed for this composition: 191.2 meV per atom
* calculated volume: 68.60 Å³/cell
* DOS(E_F): 0.8857 states/eV/atom
* size of the total moment: 0.00 μB/cell
* ΔE_f: 0.2 eV per formula unit

abc: 4.595 4.595 4.595
angles: 60.00 60.00 60.00
Sites, in units of the cell vectors:
Cu: 0.250 0.250 0.250
Li: 0.000 0.000 0.000
Y: 0.500 0.500 0.500



LiY2Cu after structural relaxation. Source: the Alexandria database, functional PBE.

## Properties
* calculated volume: 92.18 Å³/cell
* DOS(E_F): 0.8277 states/eV/atom
* size of the total moment: 0.77 μB/cell
* ΔE_f: 0.0 eV per formula unit

abc: 3.565 3.566 7.251
angles: 90.00 90.00 90.00
Site moments in Bohr magnetons follow the coordinates.
Sites, in units of the cell vectors:
Cu: 0.000 0.000 0.534  0.01
Li: 0.500 0.500 0.699  0.00
Y: 0.000 0.000 0.963  0.23
Y: 0.500 0.500 0.304  0.17



LiYCu after structural relaxation. Source: the Alexandria database, functional PBE.

## Properties
* energy relative to the lowest polymorph listed for this composition: 0.0 meV per atom
* calculated volume: 362.93 Å³/cell
* DOS(E_F): 0.8089 states/eV/atom
* size of the total moment: 0.00 μB/cell
* ΔE_f: -0.3 eV per formula unit

abc: 3.923 7.297 12.683
angles: 91.44 90.00 90.00
Sites, in units of the cell vectors:
Y: 0.750 0.546 0.374
Y: 0.250 0.941 0.715
Y: 0.750 0.059 0.285
Y: 0.750 0.660 0.086
Y: 0.250 0.454 0.626
Y: 0.250 0.340 0.914
Cu: 0.250 0.743 0.918
Cu: 0.750 0.237 0.750
Cu: 0.750 0.745 0.581
Cu: 0.750 0.257 0.082
Cu: 0.250 0.255 0.419
Cu: 0.250 0.763 0.250
Li: 0.250 0.010 0.079
Li: 0.250 0.873 0.462
Li: 0.750 0.626 0.800
Li: 0.750 0.127 0.538
Li: 0.250 0.374 0.200
Li: 0.750 0.990 0.921



LiY3Cu2 after structural relaxation. Source: the Alexandria database, functional PBE.

## Properties
* calculated volume: 134.72 Å³/cell
* DOS(E_F): 0.5982 states/eV/atom
* size of the total moment: 0.00 μB/cell
* ΔE_f: -0.8 eV per formula unit

abc: 3.534 3.534 10.785
angles: 90.00 90.00 90.00
Sites, in units of the cell vectors:
Li: 0.500 0.500 0.500
Y: 0.000 0.000 0.000
Y: 0.000 0.000 0.684
Y: 0.000 0.000 0.316
Cu: 0.500 0.500 0.834
Cu: 0.500 0.500 0.166



LiY2Cu2 after structural relaxation. Source: the Alexandria database, functional PBE.

## Properties
* energy relative to the lowest polymorph listed for this composition: 272.3 meV per atom
* calculated volume: 110.85 Å³/cell
* DOS(E_F): 0.9322 states/eV/atom
* size of the total moment: 0.00 μB/cell
* ΔE_f: 0.6 eV per formula unit

abc: 3.532 3.532 9.229
angles: 78.97 78.97 90.00
Sites, in units of the cell vectors:
Y: 0.383 0.383 0.235
Y: 0.617 0.617 0.765
Cu: 0.750 0.250 0.500
Cu: 0.250 0.750 0.500
Li: 0.000 0.000 0.000



LiY4Cu after structural relaxation. Source: the Alexandria database, functional PBE.

## Properties
* calculated volume: 182.07 Å³/cell
* DOS(E_F): 0.9089 states/eV/atom
* size of the total moment: 0.00 μB/cell
* ΔE_f: 3.8 eV per formula unit

abc: 6.362 6.362 6.362
angles: 60.00 60.00 60.00
Sites, in units of the cell vectors:
Li: 0.000 0.000 0.000
Y: 0.376 0.873 0.376
Y: 0.873 0.376 0.376
Y: 0.376 0.376 0.873
Y: 0.376 0.376 0.376
Cu: 0.750 0.750 0.750



LiY5Cu4 after structural relaxation. Source: the Alexandria database, functional PBE.

## Properties
* calculated volume: 218.95 Å³/cell
* DOS(E_F): 0.5739 states/eV/atom
* size of the total moment: 0.00 μB/cell
* ΔE_f: -1.8 eV per formula unit

abc: 3.501 3.501 17.860
angles: 90.00 90.00 90.00
Sites, in units of the cell vectors:
Li: 0.000 0.000 0.000
Y: 0.500 0.500 0.112
Y: 0.500 0.500 0.305
Y: 0.500 0.500 0.500
Y: 0.500 0.500 0.695
Y: 0.500 0.500 0.888
Cu: 0.000 0.000 0.204
Cu: 0.000 0.000 0.403
Cu: 0.000 0.000 0.597
Cu: 0.000 0.000 0.796



LiY2Cu2 after structural relaxation. Source: the Alexandria database, functional PBE.

## Properties
* energy relative to the lowest polymorph listed for this composition: 170.2 meV per atom
* calculated volume: 220.11 Å³/cell
* DOS(E_F): 0.6516 states/eV/atom
* size of the total moment: 0.00 μB/cell
* ΔE_f: 0.0 eV per formula unit

abc: 8.109 8.109 3.347
angles: 90.00 90.00 90.00
Sites, in units of the cell vectors:
Y: 0.342 0.842 0.000
Y: 0.842 0.658 0.000
Y: 0.658 0.158 0.000
Y: 0.158 0.342 0.000
Cu: 0.130 0.630 0.500
Cu: 0.630 0.870 0.500
Cu: 0.870 0.370 0.500
Cu: 0.370 0.130 0.500
Li: 0.000 0.000 0.000
Li: 0.500 0.500 0.000



LiYCu4 after structural relaxation. Source: the Alexandria database, functional PBE.

## Properties
* calculated volume: 92.01 Å³/cell
* DOS(E_F): 1.1010 states/eV/atom
* size of the total moment: 0.00 μB/cell
* ΔE_f: -1.1 eV per formula unit

abc: 5.067 5.067 5.067
angles: 60.00 60.00 60.00
Sites, in units of the cell vectors:
Cu: 0.624 0.129 0.624
Cu: 0.129 0.624 0.624
Cu: 0.624 0.624 0.624
Cu: 0.624 0.624 0.129
Li: 0.250 0.250 0.250
Y: 0.000 0.000 0.000



LiY2Cu after structural relaxation. Source: the Alexandria database, functional PBE.

## Properties
* calculated volume: 92.21 Å³/cell
* DOS(E_F): 0.9966 states/eV/atom
* size of the total moment: 0.00 μB/cell
* ΔE_f: 0.5 eV per formula unit

abc: 6.024 6.024 6.024
angles: 139.26 139.26 58.97
Sites, in units of the cell vectors:
Cu: 0.500 0.500 0.000
Li: 0.750 0.250 0.500
Y: 0.000 0.000 0.000
Y: 0.250 0.750 0.500



Li6YCu6 after structural relaxation. Source: the Alexandria database, functional PBE.

## Properties
* calculated volume: 192.48 Å³/cell
* DOS(E_F): 0.4962 states/eV/atom
* size of the total moment: 0.00 μB/cell
* ΔE_f: -0.9 eV per formula unit

abc: 4.973 6.700 6.700
angles: 81.38 68.22 68.22
Sites, in units of the cell vectors:
Li: 0.358 0.642 0.642
Li: 0.642 0.358 0.358
Li: 0.000 0.345 0.655
Li: 0.000 0.655 0.345
Li: 0.290 0.210 0.210
Li: 0.710 0.790 0.790
Y: 0.000 0.000 0.000
Cu: 0.000 0.500 0.000
Cu: 0.500 0.500 0.000
Cu: 0.000 0.000 0.500
Cu: 0.500 0.000 0.500
Cu: 0.500 0.785 0.215
Cu: 0.500 0.215 0.785



LiYCu17 after structural relaxation. Source: the Alexandria database, functional PBE.

## Properties
* calculated volume: 258.27 Å³/cell
* DOS(E_F): 0.3123 states/eV/atom
* size of the total moment: 0.00 μB/cell
* ΔE_f: -0.6 eV per formula unit

abc: 6.420 6.420 6.420
angles: 82.46 82.46 82.46
Sites, in units of the cell vectors:
Li: 0.341 0.341 0.341
Y: 0.659 0.659 0.659
Cu: 0.299 0.003 0.698
Cu: 0.698 0.299 0.003
Cu: 0.003 0.698 0.299
Cu: 0.299 0.698 0.003
Cu: 0.003 0.299 0.698
Cu: 0.698 0.003 0.299
Cu: 0.344 0.852 0.344
Cu: 0.344 0.344 0.852
Cu: 0.852 0.344 0.344
Cu: 0.652 0.158 0.652
Cu: 0.652 0.652 0.158
Cu: 0.158 0.652 0.652
Cu: 0.996 0.501 0.996
Cu: 0.996 0.996 0.501
Cu: 0.501 0.996 0.996
Cu: 0.904 0.904 0.904
Cu: 0.100 0.100 0.100



Li4YCu after structural relaxation. Source: the Alexandria database, functional PBE.

## Properties
* calculated volume: 106.69 Å³/cell
* DOS(E_F): 0.9174 states/eV/atom
* size of the total moment: 0.00 μB/cell
* ΔE_f: 0.7 eV per formula unit

abc: 5.324 5.324 5.324
angles: 60.00 60.00 60.00
Sites, in units of the cell vectors:
Li: 0.883 0.372 0.372
Li: 0.372 0.372 0.883
Li: 0.372 0.883 0.372
Li: 0.372 0.372 0.372
Y: 0.750 0.750 0.750
Cu: 0.000 0.000 0.000



LiY6Cu5 after structural relaxation. Source: the Alexandria database, functional PBE.

## Properties
* calculated volume: 259.14 Å³/cell
* DOS(E_F): 0.5564 states/eV/atom
* size of the total moment: 0.00 μB/cell
* ΔE_f: -2.3 eV per formula unit

abc: 4.965 6.981 7.878
angles: 90.00 71.63 90.00
Sites, in units of the cell vectors:
Y: 0.830 0.747 0.340
Y: 0.830 0.253 0.340
Y: 0.500 0.258 0.000
Y: 0.500 0.742 0.000
Y: 0.170 0.747 0.660
Y: 0.170 0.253 0.660
Cu: 0.667 0.500 0.665
Cu: 0.342 0.000 0.315
Cu: 0.000 0.500 0.000
Cu: 0.658 0.000 0.685
Cu: 0.333 0.500 0.335
Li: 0.000 0.000 0.000



LiY3Cu after structural relaxation. Source: the Alexandria database, functional PBE.

## Properties
* energy relative to the lowest polymorph listed for this composition: 0.0 meV per atom
* calculated volume: 157.81 Å³/cell
* DOS(E_F): 2.1956 states/eV/atom
* size of the total moment: 0.75 μB/cell
* ΔE_f: 1.1 eV per formula unit

abc: 5.404 5.404 5.404
angles: 90.00 90.00 90.00
Site moments in Bohr magnetons follow the coordinates.
Sites, in units of the cell vectors:
Y: 0.000 0.500 0.000  0.08
Y: 0.000 0.000 0.500  0.07
Y: 0.500 0.000 0.000  0.10
Cu: 0.000 0.000 0.000  0.02
Li: 0.500 0.500 0.500  0.01



LiY2Cu2 after structural relaxation. Source: the Alexandria database, functional PBE.

## Properties
* energy relative to the lowest polymorph listed for this composition: 0.0 meV per atom
* calculated volume: 215.37 Å³/cell
* DOS(E_F): 0.8401 states/eV/atom
* size of the total moment: 0.00 μB/cell
* ΔE_f: -0.8 eV per formula unit

abc: 7.585 7.585 3.744
angles: 90.00 90.00 90.00
Sites, in units of the cell vectors:
Y: 0.172 0.672 0.500
Y: 0.672 0.828 0.500
Y: 0.828 0.328 0.500
Y: 0.328 0.172 0.500
Cu: 0.379 0.879 0.000
Cu: 0.879 0.621 0.000
Cu: 0.621 0.121 0.000
Cu: 0.121 0.379 0.000
Li: 0.000 0.000 0.000
Li: 0.500 0.500 0.000



LiY2Cu after structural relaxation. Source: the Alexandria database, functional PBE.

## Properties
* calculated volume: 106.00 Å³/cell
* DOS(E_F): 1.0499 states/eV/atom
* size of the total moment: 0.00 μB/cell
* ΔE_f: 0.5 eV per formula unit

abc: 9.699 9.699 9.699
angles: 21.36 21.36 21.36
Sites, in units of the cell vectors:
Cu: 0.250 0.250 0.250
Li: 0.750 0.750 0.750
Y: 0.985 0.985 0.985
Y: 0.515 0.515 0.515



LiY2Cu after structural relaxation. Source: the Alexandria database, functional PBE.

## Properties
* calculated volume: 86.29 Å³/cell
* DOS(E_F): 0.3599 states/eV/atom
* size of the total moment: 0.00 μB/cell
* ΔE_f: 0.9 eV per formula unit

abc: 4.960 4.960 4.960
angles: 60.00 60.00 60.00
Sites, in units of the cell vectors:
Cu: 0.500 0.500 0.500
Li: 0.750 0.750 0.750
Y: 0.000 0.000 0.000
Y: 0.250 0.250 0.250